1.
Crystalline Na2TaTl at its relaxed geometry, computed with PBE.

Lattice parameters (Å, degrees): 7.288 7.288 7.288 90.00 90.00 90.00
Space group Fm-3m (No. 225)
Asymmetric unit:
Na  0.250  0.250  0.250
Ta  0.000  0.000  0.000
Tl  0.000  0.000  0.500

Calculated values
total DFT energy (no corrections)	-3.123	eV per atom
energy relative to the elements	1.0916	eV/atom
calculated density	7.40	Mg/m³

=====

2.
Crystalline Y2Al2Zn at its relaxed geometry, computed with PBE.

Lattice parameters (Å, degrees): 6.911 6.911 4.707 90.00 90.00 90.00
Space group P4/mbm (No. 127)
Asymmetric unit:
Y  0.170  0.330  0.000
Al  0.136  0.636  0.500
Zn  0.000  0.000  0.500

Calculated values
total DFT energy (no corrections)	-4.747	eV per atom
energy relative to the elements	-0.4094	eV/atom
calculated density	4.39	Mg/m³